First-principles (PBE-GGA) data for a relaxed structure of GePAuN, as listed in Alexandria via LeMat-Bulk.

- ρ: 8.8 g cm⁻³
- Energy relative to the elements, uncorrected: 0.33 eV/atom
- Energy relative to the lowest polymorph listed for this composition: 96 kJ/mol of formula units
- Space group: No. 156

abc: 3.204 3.204 6.694
angles: 90.00 90.00 120.00
Fractional positions:
Ge 0.000 0.000 0.000
P 0.333 0.667 0.706
Au 0.667 0.333 0.457
N 0.667 0.333 0.121